Entry 1:
PuCdPt | OQMD | PBE | relaxed; mass density = 11.5 g/cm3; formation enthalpy at 0 K = 2.96 kJ/mol of atoms; E = -20.99 eV/cell; space group = No. 216; magnetic moment = 1.886 μB/atom
1.0
-2.9610 -3.8101 0.3003
-4.3037 0.1038 -2.2003
-0.7928 -2.7579 -3.8910
Pt Cd Pu
1 1 1
Cartesian
-4.0288 -3.2321 -2.8955 Pt
0.0000 0.0000 0.0000 Cd
-2.0144 -1.6161 -1.4478 Pu



Entry 2:
Nd2SmSn7 | OQMD | PBE | relaxed; mass density = 7.7 g/cm3; E = -48.21 eV/cell; space group = No. 65; magnetic moment = 0.000 μB/atom
1.0
6.7915 9.7718 6.8157
-7.0968 -6.4626 -9.7947
-3.8713 1.3601 1.9075
Sn Sm Nd
7 1 2
Cartesian
-1.4882 0.0934 -3.0868 Sn
1.1829 3.2158 0.1078 Sn
-2.0883 2.3346 -0.5358 Sn
-4.1436 -3.0105 -6.2627 Sn
-7.7046 -4.2305 -7.2529 Sn
3.5280 8.8998 6.1814 Sn
3.8383 6.3197 3.2836 Sn
0.0000 0.0000 0.0000 Sm
-4.6996 -0.7178 -3.6589 Nd
0.5230 5.3871 2.5874 Nd